Record 1
A relaxed structure of SbRuW. Source: Alexandria, functional PBE.

Structure (POSCAR):
```
SbRuW
1.0
-3.6301 2.3924 4.2382
-1.2877 1.2849 5.7921
1.0566 2.8019 0.4009
Ru Sb W
1 1 1
direct
0.0115 0.0115 0.9885
0.3355 0.3355 0.6645
0.6530 0.6530 0.3470
```

Values from the calculation:
The energy above the lowest structure with this stoichiometry is 107 meV per atom. Its crystal system is tetragonal.



Record 2
A relaxed structure of Tb5Pm12Th2. Source: Alexandria, functional PBE.

Structure (POSCAR):
```
Tb5Pm12Th2
1.0
-1.8597 6.7296 -6.2860
3.0581 -8.2456 -2.7119
-8.3803 -2.6295 -0.3358
Pm Tb Th
12 5 2
direct
0.5665 0.7384 0.3157
0.0312 0.7037 0.7605
0.4401 0.8801 0.6587
0.3276 0.2963 0.2395
0.8281 0.2616 0.6843
0.1719 0.7384 0.3157
0.9688 0.2963 0.2395
0.4335 0.2616 0.6843
0.6724 0.7037 0.7605
0.9268 0.8536 0.1204
0.5599 0.1199 0.3413
0.0732 0.1464 0.8796
0.7675 0.5351 0.4338
0.2325 0.4649 0.5662
0.0000 0.0000 0.5000
0.2934 0.5867 0.9621
0.7066 0.4133 0.0379
0.6658 0.0000 0.0000
0.3342 0.0000 0.0000
```

Values from the calculation:
The energy above the lowest structure with this stoichiometry is 0 meV per atom. Its crystal system is monoclinic.



Record 3
A relaxed structure of Al2InO2. Source: Alexandria, functional PBE.

Structure (POSCAR):
```
Al2InO2
1.0
-7.4704 1.7140 -0.9363
-1.9420 -6.9122 2.8411
-0.0719 1.0342 2.4669
In Al O
2 4 4
direct
0.0000 0.0000 0.0000
0.5000 0.5000 0.0000
0.1067 0.3933 0.0000
0.3933 0.8933 0.0000
0.6067 0.1067 0.0000
0.8933 0.6067 0.0000
0.8973 0.3973 0.5000
0.6027 0.8973 0.5000
0.1027 0.6027 0.5000
0.3973 0.1027 0.5000
```

Values from the calculation:
The energy above the lowest structure with this stoichiometry is 936 meV per atom. Its crystal system is tetragonal.



Record 4
A relaxed structure of Pr2SnBi. Source: Alexandria, functional PBE.

Structure (POSCAR):
```
Pr2SnBi
1.0
-2.5578 -1.5569 3.4160
-2.8873 -1.9992 -3.0731
4.5968 -4.2831 -1.5326
Pr Bi Sn
2 1 1
direct
0.2108 0.5000 0.9611
0.9506 0.0000 0.4392
0.4839 0.5000 0.5059
0.6857 0.0000 0.9117
```

Values from the calculation:
The energy above the lowest structure with this stoichiometry is 77 meV per atom. Its crystal system is monoclinic.